The following is a GGA+U calculation of PaCoGeO5 after structural relaxation, from Alexandria via LeMat-Bulk.

Calculated total energy ... -61.22 eV per formula unit

a b c (Å): 6.3451 10.0839 8.0406
angles (deg): 90.00 112.02 90.00
Closest atoms and distances in Å follow each position.
Space group C2/c (No. 15)
Inequivalent atoms, fractional coordinates:
1 Pa 0.2500 0.2500 0.0000 x4  6 O 2.13-2.31
2 Co 0.0000 0.0356 0.2500 x4  3 O 1.98-2.12
3 Ge 0.0000 0.4569 0.2500 x4  4 O 1.76-1.80
4 O 0.0000 0.1749 0.7500 x4  1 Co 2.12, 2 Pa 2.18
5 O 0.0052 0.3525 0.0755 x8  1 Ge 1.76
6 O 0.2442 0.4364 0.8304 x8  1 Ge 1.80, 1 Co 1.98